Record 1
First-principles (PBE) data for a relaxed Tb2CeIn2Rh5 crystal, as listed in Alexandria via LeMat-Bulk.

a = 3.7592 Å, b = 10.2947 Å, c = 10.2947 Å
α = 90.00°, β = 90.00°, γ = 90.00°
Closest atoms and distances in Å follow each position.
Fractional coordinates of all 20 atoms:
Rh  0.5000  0.6975  0.4417  2 In 2.68, 2 Ce 2.83, 2 Rh 3.00
Rh  0.5000  0.0000  0.5000  4 In 2.68
Rh  0.5000  0.5583  0.6975  2 In 2.68, 2 Ce 2.83, 2 Rh 3.00
Rh  0.5000  0.4417  0.3025  2 In 2.68, 2 Ce 2.83, 2 Rh 3.00
Rh  0.5000  0.8025  0.9417  2 In 2.68, 2 Ce 2.83, 2 Rh 3.00
Rh  0.5000  0.3025  0.5583  2 In 2.68, 2 Ce 2.83, 2 Rh 3.00
Rh  0.5000  0.5000  0.0000  4 In 2.68
Rh  0.5000  0.0583  0.8025  2 In 2.68, 2 Ce 2.83, 2 Rh 3.00
Rh  0.5000  0.9417  0.1975  2 In 2.68, 2 Ce 2.83, 2 Rh 3.00
Rh  0.5000  0.1975  0.0583  2 In 2.68, 2 Ce 2.83, 2 Rh 3.00
Ce  0.0000  0.0000  0.0000  8 Rh 2.83
Ce  0.0000  0.5000  0.5000  8 Rh 2.83
In  0.0000  0.3688  0.1312  6 Rh 2.68, 1 Tb 2.96
In  0.0000  0.6312  0.8688  6 Rh 2.68, 1 Tb 2.96
In  0.0000  0.8688  0.3688  6 Rh 2.68, 1 Tb 2.96
In  0.0000  0.1312  0.6312  6 Rh 2.68, 1 Tb 2.96
Tb  0.0000  0.1659  0.3341  3 In 2.96-3.08, 6 Rh 3.06-3.29
Tb  0.0000  0.8341  0.6659  3 In 2.96-3.08, 6 Rh 3.06-3.29
Tb  0.0000  0.3341  0.8341  3 In 2.96-3.08, 6 Rh 3.06-3.29
Tb  0.0000  0.6659  0.1659  3 In 2.96-3.08, 6 Rh 3.06-3.29



Record 2
First-principles (PBE) data for a relaxed CeTmInRh crystal, as listed in Alexandria via LeMat-Bulk.

As for the excess energy over the best structure of this formula in the dataset: 0.000 eV/atom.

a = 3.4115 Å, b = 3.4115 Å, c = 8.0761 Å
α = 90.00°, β = 90.00°, γ = 90.00°
Closest atoms and distances in Å follow each position.
Fractional coordinates of all 4 atoms:
In  0.5000  0.5000  0.8118  4 Tm 3.30, 4 Ce 3.39, 4 In 3.41
Tm  0.0000  0.0000  0.5321  4 Rh 2.90
Rh  0.5000  0.5000  0.3332  4 Tm 2.90, 4 Ce 3.02
Ce  0.0000  0.0000  0.1076  4 Rh 3.02



Record 3
First-principles (PBE) data for a relaxed CeTmInRh crystal, as listed in Alexandria via LeMat-Bulk.

As for the excess energy over the best structure of this formula in the dataset: 0.170 eV/atom.

a = 5.1207 Å, b = 5.1207 Å, c = 5.1207 Å
α = 60.00°, β = 60.00°, γ = 60.00°
Closest atoms and distances in Å follow each position.
Fractional coordinates of all 4 atoms:
In  0.5000  0.5000  0.5000  4 Ce 3.14, 4 Tm 3.14
Ce  0.2500  0.2500  0.2500  4 In 3.14, 4 Rh 3.14
Rh  0.0000  0.0000  0.0000  4 Ce 3.14, 4 Tm 3.14
Tm  0.7500  0.7500  0.7500  4 In 3.14, 4 Rh 3.14



Record 4
First-principles (PBE) data for a relaxed Ce2Zn2InRh5 crystal, as listed in Alexandria via LeMat-Bulk.

a = 3.7527 Å, b = 9.6639 Å, c = 9.6639 Å
α = 90.00°, β = 90.00°, γ = 90.00°
Closest atoms and distances in Å follow each position.
Fractional coordinates of all 20 atoms:
Rh  0.5000  0.0000  0.5000  4 Zn 2.50
Rh  0.5000  0.2946  0.5782  2 Zn 2.55, 2 In 2.83
Rh  0.5000  0.2054  0.0782  2 Zn 2.55, 2 In 2.83
Rh  0.5000  0.9218  0.2054  2 Zn 2.55, 2 In 2.83
Rh  0.5000  0.5000  0.0000  4 Zn 2.50
Rh  0.5000  0.7054  0.4218  2 Zn 2.55, 2 In 2.83
Rh  0.5000  0.5782  0.7054  2 Zn 2.55, 2 In 2.83
Rh  0.5000  0.7946  0.9218  2 Zn 2.55, 2 In 2.83
Rh  0.5000  0.0782  0.7946  2 Zn 2.55, 2 In 2.83
Rh  0.5000  0.4218  0.2946  2 Zn 2.55, 2 In 2.83
Ce  0.0000  0.6762  0.1762  3 Zn 2.77-2.92, 6 Rh 3.04-3.05
Ce  0.0000  0.3238  0.8238  3 Zn 2.77-2.92, 6 Rh 3.04-3.05
Ce  0.0000  0.8238  0.6762  3 Zn 2.77-2.92, 6 Rh 3.04-3.05
Ce  0.0000  0.1762  0.3238  3 Zn 2.77-2.92, 6 Rh 3.04-3.05
Zn  0.0000  0.8792  0.3792  6 Rh 2.50-2.55, 1 Ce 2.77
Zn  0.0000  0.1208  0.6208  6 Rh 2.50-2.55, 1 Ce 2.77
Zn  0.0000  0.3792  0.1208  6 Rh 2.50-2.55, 1 Ce 2.77
Zn  0.0000  0.6208  0.8792  6 Rh 2.50-2.55, 1 Ce 2.77
In  0.0000  0.5000  0.5000  8 Rh 2.83
In  0.0000  0.0000  0.0000  8 Rh 2.83



Record 5
First-principles (PBE) data for a relaxed CeZnInRh crystal, as listed in Alexandria via LeMat-Bulk.

a = 4.8362 Å, b = 4.8362 Å, c = 4.8362 Å
α = 60.00°, β = 60.00°, γ = 60.00°
Closest atoms and distances in Å follow each position.
Fractional coordinates of all 4 atoms:
Zn  0.5000  0.5000  0.5000  4 In 2.96, 4 Ce 2.96
In  0.2500  0.2500  0.2500  4 Rh 2.96, 4 Zn 2.96
Ce  0.7500  0.7500  0.7500  4 Rh 2.96, 4 Zn 2.96
Rh  0.0000  0.0000  0.0000  4 Ce 2.96, 4 In 2.96



Record 6
First-principles (PBE) data for a relaxed Ce3In2Ru2 crystal, as listed in Alexandria via LeMat-Bulk.

a = 4.9472 Å, b = 7.6750 Å, c = 17.4522 Å
α = 90.00°, β = 90.00°, γ = 90.00°
Closest atoms and distances in Å follow each position.
Fractional coordinates of all 28 atoms:
Ce  0.2500  0.4687  0.3628  6 In 3.25-3.42, 3 Ce 3.47-3.61, 4 Ru 3.51-3.62
Ce  0.7500  0.5313  0.6372  6 In 3.25-3.42, 3 Ce 3.47-3.61, 4 Ru 3.51-3.62
Ce  0.7500  0.9879  0.5745  1 Ru 2.32
Ce  0.7500  0.9687  0.1372  6 In 3.25-3.42, 3 Ce 3.47-3.61, 4 Ru 3.51-3.62
Ce  0.2500  0.2752  0.1740  1 Ru 2.28
Ce  0.7500  0.7248  0.8260  1 Ru 2.28
Ce  0.2500  0.0121  0.4255  1 Ru 2.32
Ce  0.2500  0.4879  0.9255  1 Ru 2.32
Ce  0.7500  0.7752  0.3260  1 Ru 2.28
Ce  0.2500  0.2248  0.6740  1 Ru 2.28
Ce  0.7500  0.5121  0.0745  1 Ru 2.32
Ce  0.2500  0.0313  0.8628  6 In 3.25-3.42, 3 Ce 3.47-3.61, 4 Ru 3.51-3.62
In  0.7500  0.3399  0.4700  3 Ru 2.84-2.95, 1 In 3.10
In  0.2500  0.7874  0.6988  3 Ru 2.86-2.91, 1 In 3.10
In  0.2500  0.7126  0.1988  3 Ru 2.86-2.91, 1 In 3.10
In  0.7500  0.1601  0.9700  3 Ru 2.84-2.95, 1 In 3.10
In  0.2500  0.8399  0.0300  3 Ru 2.84-2.95, 1 In 3.10
In  0.7500  0.2874  0.8012  3 Ru 2.86-2.91, 1 In 3.10
In  0.2500  0.6601  0.5300  3 Ru 2.84-2.95, 1 In 3.10
In  0.7500  0.2126  0.3012  3 Ru 2.86-2.91, 1 In 3.10
Ru  0.2500  0.4746  0.7927  1 Ce 2.32
Ru  0.7500  0.7228  0.4547  1 Ce 2.28
Ru  0.2500  0.2772  0.5453  1 Ce 2.28
Ru  0.2500  0.0254  0.2927  1 Ce 2.32
Ru  0.7500  0.5254  0.2073  1 Ce 2.32
Ru  0.2500  0.2228  0.0453  1 Ce 2.28
Ru  0.7500  0.9746  0.7073  1 Ce 2.32
Ru  0.7500  0.7772  0.9547  1 Ce 2.28



| no. | ΔH_f (0 K) (kJ/mol of formula units) | ρ (g/cm³) | total DFT energy (no corrections) (eV for the cell shown) |
| --- | --- | --- | --- |
| 1 | -568 | 10.0 | -126.64 |
| 2 | -240 | 9.3 | -22.99 |
| 3 | -175 | 9.2 | -22.31 |
| 4 | -583 | 9.9 | -119.90 |
| 5 | -167 | 8.8 | -19.03 |
| 6 | -311 | 8.5 | -180.20 |